Density functional theory data (PBE-GGA) for a relaxed structure of HfSiSn2.

Cell lengths 5.024, 5.024, 5.024 Å; angles 60.00, 60.00, 60.00 degrees
Fractional coordinates of all 4 atoms:
Hf1 0.000 0.000 0.000
Si1 0.750 0.750 0.750
Sn1 0.250 0.250 0.250
Sn2 0.500 0.500 0.500

Summary:
* VASP energy: -5.518 eV per atom
* symmetry: F-43m, No. 216
* V: 90 Å³/f.u.

***

Density functional theory data (PBE-GGA) for a relaxed structure of NdAgPbSe3.

Cell lengths 11.018, 4.221, 13.785 Å; angles 90.00, 90.00, 90.00 degrees
Fractional coordinates of all 24 atoms:
Nd1 0.014 0.250 0.242
Nd2 0.486 0.750 0.742
Nd3 0.514 0.250 0.258
Nd4 0.986 0.750 0.758
Ag1 0.239 0.250 0.721
Ag2 0.261 0.750 0.221
Ag3 0.739 0.250 0.779
Ag4 0.761 0.750 0.279
Pb1 0.224 0.750 0.508
Pb2 0.276 0.250 0.008
Pb3 0.724 0.750 0.992
Pb4 0.776 0.250 0.492
Se1 0.043 0.250 0.609
Se2 0.078 0.750 0.099
Se3 0.240 0.750 0.843
Se4 0.260 0.250 0.343
Se5 0.422 0.250 0.599
Se6 0.457 0.750 0.109
Se7 0.543 0.250 0.891
Se8 0.578 0.750 0.401
Se9 0.740 0.750 0.657
Se10 0.760 0.250 0.157
Se11 0.922 0.250 0.901
Se12 0.957 0.750 0.391

Summary:
* energy above the most stable polymorph in this dataset: 0.000 eV/atom
* VASP energy: -4.599 eV per atom
* symmetry: Pnma, No. 62
* V: 160 Å³/f.u.

***

Density functional theory data (PBE-GGA) for a relaxed structure of HoNpAu.

Cell lengths 4.828, 4.828, 4.828 Å; angles 60.00, 60.00, 60.00 degrees
Fractional coordinates of all 3 atoms:
Ho1 0.000 0.000 0.000
Np1 0.250 0.250 0.250
Au1 0.750 0.750 0.750

Summary:
* VASP energy: -6.336 eV per atom
* symmetry: F-43m, No. 216
* DFT formation energy: 1.6 eV per formula unit
* V: 80 Å³/f.u.

***

Density functional theory data (PBE-GGA) for a relaxed structure of BeCoAsOs.

Cell lengths 4.143, 4.143, 4.143 Å; angles 60.00, 60.00, 60.00 degrees
Fractional coordinates of all 4 atoms:
Be1 0.000 0.000 0.000
Co1 0.500 0.500 0.500
As1 0.250 0.250 0.250
Os1 0.750 0.750 0.750

Summary:
* energy above the most stable polymorph in this dataset: 0.475 eV/atom
* VASP energy: -6.197 eV per atom
* symmetry: F-43m, No. 216
* V: 50 Å³/f.u.

***

Density functional theory data (PBE-GGA) for a relaxed structure of YAl4Ag8.

Cell lengths 7.096, 7.096, 7.096 Å; angles 98.23, 98.23, 135.54 degrees
Fractional coordinates of all 13 atoms:
Y1 0.000 0.000 0.000
Al1 0.000 0.000 0.500
Al2 0.000 0.500 0.000
Al3 0.500 0.000 0.000
Al4 0.500 0.500 0.500
Ag1 0.000 0.342 0.342
Ag2 0.000 0.658 0.658
Ag3 0.283 0.500 0.783
Ag4 0.342 0.000 0.342
Ag5 0.500 0.283 0.783
Ag6 0.500 0.717 0.217
Ag7 0.658 0.000 0.658
Ag8 0.717 0.500 0.217

Summary:
* VASP energy: -3.601 eV per atom
* symmetry: I4/mmm, No. 139
* V: 232 Å³/f.u.

***

Density functional theory data (PBE-GGA) for a relaxed structure of SmYAg.

Cell lengths 4.960, 4.960, 4.960 Å; angles 60.00, 60.00, 60.00 degrees
Fractional coordinates of all 3 atoms:
Sm1 0.000 0.000 0.000
Y1 0.250 0.250 0.250
Ag1 0.750 0.750 0.750

Summary:
* VASP energy: -4.113 eV per atom
* symmetry: F-43m, No. 216
* DFT formation energy: 1.7 eV per formula unit
* V: 86 Å³/f.u.

***

Density functional theory data (PBE-GGA) for a relaxed structure of ScNbCoAs.

Cell lengths 4.446, 4.446, 4.446 Å; angles 60.00, 60.00, 60.00 degrees
Fractional coordinates of all 4 atoms:
Sc1 0.000 0.000 0.000
Nb1 0.250 0.250 0.250
Co1 0.750 0.750 0.750
As1 0.500 0.500 0.500

Summary:
* energy above the most stable polymorph in this dataset: 0.000 eV/atom
* VASP energy: -6.999 eV per atom
* symmetry: F-43m, No. 216
* V: 62 Å³/f.u.

***

Density functional theory data (PBE-GGA) for a relaxed structure of LaTbAlIr2.

Cell lengths 5.681, 5.681, 5.681 Å; angles 136.99, 117.62, 78.76 degrees
Fractional coordinates of all 5 atoms:
La1 0.000 0.000 0.000
Tb1 0.603 0.603 0.000
Al1 0.301 0.801 0.500
Ir1 0.044 0.300 0.743
Ir2 0.557 0.300 0.257

Summary:
* VASP energy: -7.054 eV per atom
* symmetry: Imm2, No. 44
* V: 108 Å³/f.u.

***

Density functional theory data (PBE-GGA) for a relaxed structure of SmCuTe3Pb.

Cell lengths 8.954, 4.509, 17.493 Å; angles 90.00, 90.00, 90.00 degrees
Fractional coordinates of all 24 atoms:
Sm1 0.246 0.250 0.038
Sm2 0.254 0.750 0.538
Sm3 0.746 0.250 0.462
Sm4 0.754 0.750 0.962
Cu1 0.125 0.750 0.871
Cu2 0.375 0.250 0.371
Cu3 0.625 0.750 0.629
Cu4 0.875 0.250 0.129
Te1 0.014 0.750 0.097
Te2 0.115 0.250 0.437
Te3 0.186 0.750 0.719
Te4 0.314 0.250 0.219
Te5 0.385 0.750 0.937
Te6 0.486 0.250 0.597
Te7 0.514 0.750 0.403
Te8 0.615 0.250 0.063
Te9 0.686 0.750 0.781
Te10 0.814 0.250 0.281
Te11 0.885 0.750 0.563
Te12 0.986 0.250 0.903
Pb1 0.081 0.750 0.282
Pb2 0.419 0.250 0.782
Pb3 0.581 0.750 0.218
Pb4 0.919 0.250 0.718

Summary:
* energy above the most stable polymorph in this dataset: 0.037 eV/atom
* VASP energy: -4.284 eV per atom
* symmetry: Pnma, No. 62
* V: 177 Å³/f.u.

***

Density functional theory data (PBE-GGA) for a relaxed structure of Cs2H4Pt.

Cell lengths 6.087, 6.087, 8.761 Å; angles 90.00, 90.00, 90.00 degrees
Fractional coordinates of all 14 atoms:
Cs1 0.000 0.500 0.250
Cs2 0.000 0.500 0.750
Cs3 0.500 0.000 0.250
Cs4 0.500 0.000 0.750
H1 0.000 0.000 0.190
H2 0.000 0.000 0.810
H3 0.194 0.194 0.000
H4 0.306 0.694 0.500
H5 0.500 0.500 0.310
H6 0.500 0.500 0.690
H7 0.694 0.306 0.500
H8 0.806 0.806 0.000
Pt1 0.000 0.000 0.000
Pt2 0.500 0.500 0.500

Summary:
* VASP energy: -3.442 eV per atom
* symmetry: P4_2/mnm, No. 136
* V: 162 Å³/f.u.

***

Magnetization? In order: 0.03, 0.00, 4.51, 1.51, 0.01, 0.00, 1.94, 0.01, 0.00, 0.00 μB per formula unit.